1.
## KMnP3 (PBE)

Data for a relaxed structure of KMnP3.

Structure (extended XYZ):
```
5
Lattice="5.060 0.000 0.000 0.000 5.060 0.000 0.000 0.000 5.060" Properties=species:S:1:pos:R:3 pbc="T T T"
K 0.000 0.000 0.000
Mn 2.530 2.530 2.530
P 0.000 0.000 2.530
P 0.000 2.530 0.000
P 2.530 0.000 0.000
```

Output
Its density of states at the Fermi level is 10.62 states/eV/f.u. Its volume is 25.91 A^3/atom. The raw total energy comes out at -2.643 eV/atom. For the energy above the most stable polymorph in this dataset, the calculation gives 2.451 eV per atom. For the calculated formation energy, the calculation gives 256.3 kJ per mole of atoms. As for the space-group type: Pm-3m.

2.
## Dy5Y12Th2 (PBE)

Data for a relaxed structure of Dy5Y12Th2.

Structure (extended XYZ):
```
19
Lattice="7.769 -4.726 0.000 7.769 4.726 0.000 -0.296 0.000 8.602" Properties=species:S:1:pos:R:3 pbc="T T T"
Dy 0.000 0.000 0.000
Dy 3.568 0.000 0.626
Dy 4.540 0.000 4.131
Dy 10.703 0.000 4.471
Dy 11.675 0.000 7.975
Y 5.354 3.038 2.240
Y 1.127 0.000 3.243
Y 5.526 1.813 7.205
Y 9.889 3.038 6.361
Y 9.717 1.813 1.397
Y 6.814 0.000 1.486
Y 8.429 0.000 7.115
Y 5.526 -1.813 7.205
Y 5.354 -3.038 2.240
Y 9.717 -1.813 1.397
Y 14.116 0.000 5.359
Y 9.889 -3.038 6.361
Th 7.621 1.640 4.301
Th 7.621 -1.640 4.301
```

Output
Its density of states at the Fermi level is 29.88 states/eV/f.u. Its volume is 33.25 A^3/atom. The raw total energy comes out at -5.927 eV/atom. For the energy above the most stable polymorph in this dataset, the calculation gives 0.043 eV per atom. For the calculated formation energy, the calculation gives 14.3 kJ per mole of atoms. As for the space-group type: C2/m.

3.
## CrFeRu (PBE)

Data for a relaxed structure of CrFeRu.

Structure (extended XYZ):
```
12
Lattice="5.552 0.000 0.000 0.000 5.552 0.000 0.000 0.000 5.552" Properties=species:S:1:pos:R:3 pbc="T T T"
Cr 0.000 0.000 0.000
Cr 0.000 2.776 2.776
Cr 2.776 0.000 2.776
Cr 2.776 2.776 0.000
Fe 1.388 1.388 1.388
Fe 1.388 4.164 4.164
Fe 4.164 1.388 4.164
Fe 4.164 4.164 1.388
Ru 1.388 1.388 4.164
Ru 1.388 4.164 1.388
Ru 4.164 1.388 1.388
Ru 4.164 4.164 4.164
```

Output
Its density of states at the Fermi level is 2.59 states/eV/f.u. Its volume is 14.26 A^3/atom. The raw total energy comes out at -8.600 eV/atom. For the energy above the most stable polymorph in this dataset, the calculation gives 0.426 eV per atom. For the calculated formation energy, the calculation gives 50.2 kJ per mole of atoms. As for the space-group type: F-43m.

4.
## NdTmPt4 (PBE)

Data for a relaxed structure of NdTmPt4.

Structure (extended XYZ):
```
6
Lattice="0.000 3.863 3.863 3.863 0.000 3.863 3.863 3.863 0.000" Properties=species:S:1:pos:R:3 pbc="T T T"
Nd 0.000 0.000 0.000
Tm 5.795 5.795 5.795
Pt 2.901 2.901 2.901
Pt 4.825 4.825 2.901
Pt 4.825 2.901 4.825
Pt 2.901 4.825 4.825
```

Output
Its density of states at the Fermi level is 1.64 states/eV/f.u. Its volume is 19.22 A^3/atom. The raw total energy comes out at -6.659 eV/atom. For the calculated formation energy, the calculation gives -105.4 kJ per mole of atoms. As for the space-group type: F-43m.

5.
## ZrPdPt5 (PBE)

Data for a relaxed structure of ZrPdPt5.

Structure (extended XYZ):
```
14
Lattice="6.968 0.000 0.000 0.000 8.843 0.000 0.000 0.000 5.398" Properties=species:S:1:pos:R:3 pbc="T T T"
Zr 0.000 0.000 0.000
Zr 3.484 4.422 2.699
Pd 0.000 4.422 1.813
Pd 3.484 0.000 4.512
Pt 0.000 0.000 2.782
Pt 0.000 2.244 3.828
Pt 0.000 6.599 3.828
Pt 1.299 4.422 4.287
Pt 2.185 0.000 1.589
Pt 3.484 2.178 1.130
Pt 3.484 4.422 0.083
Pt 3.484 6.666 1.130
Pt 4.783 0.000 1.589
Pt 5.668 4.422 4.287
```

Output
Its density of states at the Fermi level is 5.82 states/eV/f.u. Its volume is 23.76 A^3/atom. The raw total energy comes out at -5.935 eV/atom. For the calculated formation energy, the calculation gives 33.1 kJ per mole of atoms. As for the space-group type: Imm2.

6.
## CuRe3Si (PBE)

Data for a relaxed structure of CuRe3Si.

Structure (extended XYZ):
```
5
Lattice="4.394 0.000 0.000 0.000 4.394 0.000 0.000 0.000 4.394" Properties=species:S:1:pos:R:3 pbc="T T T"
Cu 0.000 0.000 0.000
Re 0.000 2.197 2.197
Re 2.197 0.000 2.197
Re 2.197 2.197 0.000
Si 2.197 2.197 2.197
```

Output
Its density of states at the Fermi level is 3.44 states/eV/f.u. Its volume is 16.97 A^3/atom. The energy relative to the elements, uncorrected is 1.466 eV/atom. The raw total energy comes out at -7.907 eV/atom. For the energy above the most stable polymorph in this dataset, the calculation gives 0.000 eV per atom. As for the space-group type: Pm-3m.

7.
## Ac3Mg3Ag8 (PBE)

Data for a relaxed structure of Ac3Mg3Ag8.

Structure (extended XYZ):
```
14
Lattice="-2.408 4.996 7.118 2.408 -4.996 7.118 2.408 4.996 -7.118" Properties=species:S:1:pos:R:3 pbc="T T T"
Ac 0.000 0.000 0.000
Ac 0.000 0.000 4.144
Ac 0.000 0.000 10.092
Mg 2.408 2.991 0.000
Mg 0.000 4.996 0.000
Mg 0.000 2.005 7.118
Ag 2.408 -1.422 2.302
Ag 2.408 -2.119 5.279
Ag 2.408 1.422 2.302
Ag 0.000 2.877 1.839
Ag 2.408 2.119 5.279
Ag 0.000 3.574 4.816
Ag 0.000 7.115 1.839
Ag 0.000 6.418 4.816
```

Output
Its density of states at the Fermi level is 7.84 states/eV/f.u. Its volume is 24.47 A^3/atom. The raw total energy comes out at -3.111 eV/atom. For the calculated formation energy, the calculation gives -25.1 kJ per mole of atoms. As for the space-group type: Immm.

8.
## MgAlCu2 (PBE)

Data for a relaxed structure of MgAlCu2.

Structure (extended XYZ):
```
4
Lattice="4.269 0.000 0.000 0.000 4.269 0.000 0.000 0.000 3.130" Properties=species:S:1:pos:R:3 pbc="T T T"
Mg 0.000 0.000 0.000
Al 2.134 2.134 0.000
Cu 0.000 2.134 1.565
Cu 2.134 0.000 1.565
```

Output
Its density of states at the Fermi level is 0.69 states/eV/f.u. Its volume is 14.26 A^3/atom. The raw total energy comes out at -3.543 eV/atom. For the calculated formation energy, the calculation gives -15.5 kJ per mole of atoms. As for the space-group type: P4/mmm.

9.
## HfGaIr3 (PBE)

Data for a relaxed structure of HfGaIr3.

Structure (extended XYZ):
```
5
Lattice="4.847 0.000 0.000 0.000 4.847 0.000 0.000 0.000 4.847" Properties=species:S:1:pos:R:3 pbc="T T T"
Hf 0.000 0.000 0.000
Ga 2.424 2.424 2.424
Ir 0.000 0.000 2.424
Ir 0.000 2.424 0.000
Ir 2.424 0.000 0.000
```

Output
Its density of states at the Fermi level is 4.41 states/eV/f.u. Its volume is 22.78 A^3/atom. The raw total energy comes out at -6.499 eV/atom. For the energy above the most stable polymorph in this dataset, the calculation gives 1.607 eV per atom. For the calculated formation energy, the calculation gives 136.4 kJ per mole of atoms. As for the space-group type: Pm-3m.

10.
## Cd3Ag3Au5 (PBE)

Data for a relaxed structure of Cd3Ag3Au5.

Structure (extended XYZ):
```
11
Lattice="8.325 0.000 0.000 -4.162 7.210 0.000 0.000 0.000 4.883" Properties=species:S:1:pos:R:3 pbc="T T T"
Cd -2.086 3.612 0.000
Cd 2.077 3.597 0.000
Cd 4.171 0.000 0.000
Ag -2.859 4.953 2.442
Ag 1.303 2.257 2.442
Ag 5.719 0.000 2.442
Au -1.396 2.419 2.442
Au 0.000 4.806 2.442
Au 2.793 0.000 2.442
Au 2.766 4.791 2.442
Au 4.162 2.403 2.442
```

Output
Its density of states at the Fermi level is 4.14 states/eV/f.u. Its volume is 26.64 A^3/atom. The raw total energy comes out at -2.347 eV/atom. For the energy above the most stable polymorph in this dataset, the calculation gives 0.082 eV per atom. For the calculated formation energy, the calculation gives 16.4 kJ per mole of atoms. As for the space-group type: P-62m.

11.
## TbSeF2 (PBE)

Data for a relaxed structure of TbSeF2.

Structure (extended XYZ):
```
8
Lattice="3.111 0.000 0.000 0.000 3.947 0.000 0.000 0.000 13.718" Properties=species:S:1:pos:R:3 pbc="T T T"
Tb 0.000 0.000 0.000
Tb 1.556 1.973 6.859
Se 0.000 1.973 9.353
Se 1.556 0.000 2.494
F 0.000 0.000 6.862
F 0.000 1.973 5.344
F 1.556 0.000 12.203
F 1.556 1.973 0.003
```

Output
Its density of states at the Fermi level is 0.68 states/eV/f.u. Its volume is 21.05 A^3/atom. The energy relative to the elements, uncorrected is -2.620 eV/atom. The raw total energy comes out at -5.584 eV/atom. As for the space-group type: Imm2.

12.
## VSnSb2 (PBE)

Data for a relaxed structure of VSnSb2.

Structure (extended XYZ):
```
12
Lattice="3.343 0.000 0.000 -1.671 2.895 0.000 0.000 0.000 30.726" Properties=species:S:1:pos:R:3 pbc="T T T"
V 0.000 0.000 0.000
V 0.000 1.930 20.484
V 1.671 0.965 10.242
Sn 0.000 0.000 15.363
Sn 0.000 1.930 5.121
Sn 1.671 0.965 25.605
Sb 0.000 0.000 12.161
Sb 0.000 0.000 18.565
Sb 0.000 1.930 1.919
Sb 0.000 1.930 8.323
Sb 1.671 0.965 22.403
Sb 1.671 0.965 28.807
```

Output
Its density of states at the Fermi level is 0.87 states/eV/f.u. Its volume is 24.78 A^3/atom. The energy relative to the elements, uncorrected is 0.029 eV/atom. The raw total energy comes out at -5.312 eV/atom. As for the space-group type: R-3m.

13.
## Y2ZnCu (PBE)

Data for a relaxed structure of Y2ZnCu.

Structure (extended XYZ):
```
8
Lattice="3.426 0.000 0.000 0.000 3.470 0.000 0.000 0.000 16.266" Properties=species:S:1:pos:R:3 pbc="T T T"
Y 0.000 0.000 2.771
Y 0.000 0.000 13.495
Y 1.713 1.735 5.362
Y 1.713 1.735 10.904
Zn 0.000 0.000 8.133
Zn 1.713 1.735 0.000
Cu 0.000 0.000 0.000
Cu 1.713 1.735 8.133
```

Output
Its density of states at the Fermi level is 5.67 states/eV/f.u. Its volume is 24.17 A^3/atom. The raw total energy comes out at -4.466 eV/atom. For the calculated formation energy, the calculation gives 10.5 kJ per mole of atoms. As for the space-group type: Immm.

14.
## Ti2CdW2 (PBE)

Data for a relaxed structure of Ti2CdW2.

Structure (extended XYZ):
```
10
Lattice="3.888 0.000 0.000 0.000 3.888 0.000 0.000 0.000 12.523" Properties=species:S:1:pos:R:3 pbc="T T T"
Ti 0.000 1.944 3.131
Ti 0.000 1.944 9.392
Ti 1.944 0.000 3.131
Ti 1.944 0.000 9.392
Cd 0.000 0.000 0.000
Cd 1.944 1.944 6.261
W 0.000 0.000 5.002
W 0.000 0.000 7.521
W 1.944 1.944 1.260
W 1.944 1.944 11.263
```

Output
Its density of states at the Fermi level is 5.46 states/eV/f.u. Its volume is 18.93 A^3/atom. The raw total energy comes out at -7.632 eV/atom. For the energy above the most stable polymorph in this dataset, the calculation gives 0.535 eV per atom. For the calculated formation energy, the calculation gives 85.9 kJ per mole of atoms. As for the space-group type: I4/mmm.

15.
## EuGaHg4 (PBE)

Data for a relaxed structure of EuGaHg4.

Structure (extended XYZ):
```
6
Lattice="0.000 4.305 4.305 4.305 0.000 4.305 4.305 4.305 0.000" Properties=species:S:1:pos:R:3 pbc="T T T"
Eu 0.000 0.000 0.000
Ga 6.457 6.457 6.457
Hg 3.231 3.231 3.231
Hg 5.378 5.378 3.231
Hg 5.378 3.231 5.378
Hg 3.231 5.378 5.378
```

Output
Its density of states at the Fermi level is 10.76 states/eV/f.u. Its volume is 26.59 A^3/atom. The raw total energy comes out at -2.559 eV/atom. For the calculated formation energy, the calculation gives -13.6 kJ per mole of atoms. As for the space-group type: F-43m.

16.
## LaDy2Te4 (PBE)

Data for a relaxed structure of LaDy2Te4.

Structure (extended XYZ):
```
14
Lattice="2.179 -7.174 0.000 2.179 7.174 0.000 0.000 0.000 15.001" Properties=species:S:1:pos:R:3 pbc="T T T"
La 2.179 5.424 11.251
La 2.179 -5.424 3.750
Dy 2.179 1.887 8.484
Dy 2.179 1.887 14.019
Dy 2.179 -1.887 0.983
Dy 2.179 -1.887 6.518
Te 0.000 0.000 0.000
Te 0.000 0.000 7.501
Te 2.179 3.248 1.809
Te 2.179 3.248 5.692
Te 2.179 0.641 11.251
Te 2.179 -0.641 3.750
Te 2.179 -3.248 9.310
Te 2.179 -3.248 13.192
```

Output
Its density of states at the Fermi level is 2.65 states/eV/f.u. Its volume is 33.51 A^3/atom. The energy relative to the elements, uncorrected is -1.451 eV/atom. The raw total energy comes out at -5.265 eV/atom. As for the space-group type: Cmcm.

17.
## TbPrHo5 (PBE)

Data for a relaxed structure of TbPrHo5.

Structure (extended XYZ):
```
14
Lattice="5.835 -3.397 0.000 5.835 3.397 0.000 -4.107 0.000 11.416" Properties=species:S:1:pos:R:3 pbc="T T T"
Tb 2.918 1.699 0.000
Tb 0.864 -1.699 5.708
Pr 2.755 3.207 8.562
Pr 4.809 -3.207 2.854
Ho 0.186 0.922 8.570
Ho 2.859 1.539 5.714
Ho 2.651 1.539 11.410
Ho 4.809 0.615 2.854
Ho 2.239 -0.922 2.862
Ho 5.324 0.922 8.553
Ho 2.755 -0.615 8.562
Ho 4.913 -1.539 0.006
Ho 4.704 -1.539 5.702
Ho 7.378 -0.922 2.846
```

Output
Its density of states at the Fermi level is 8.55 states/eV/f.u. Its volume is 32.33 A^3/atom. The raw total energy comes out at -4.418 eV/atom. For the energy above the most stable polymorph in this dataset, the calculation gives 0.000 eV per atom. For the calculated formation energy, the calculation gives 19.0 kJ per mole of atoms. As for the space-group type: C2/c.

18.
## AcEuHRh (PBE)

Data for a relaxed structure of AcEuHRh.

Structure (extended XYZ):
```
16
Lattice="7.110 0.000 0.000 0.000 7.110 0.000 0.000 0.000 7.110" Properties=species:S:1:pos:R:3 pbc="T T T"
Ac 0.000 0.000 0.000
Ac 0.000 3.555 3.555
Ac 3.555 0.000 3.555
Ac 3.555 3.555 0.000
Eu 0.000 0.000 3.555
Eu 0.000 3.555 0.000
Eu 3.555 0.000 0.000
Eu 3.555 3.555 3.555
H 1.778 1.778 5.333
H 1.778 5.333 1.778
H 5.333 1.778 1.778
H 5.333 5.333 5.333
Rh 1.778 1.778 1.778
Rh 1.778 5.333 5.333
Rh 5.333 1.778 5.333
Rh 5.333 5.333 1.778
```

Output
Its density of states at the Fermi level is 1.68 states/eV/f.u. Its volume is 22.47 A^3/atom. The raw total energy comes out at -6.548 eV/atom. As for the space-group type: F-43m.

19.
## KLaAu2 (PBE)

Data for a relaxed structure of KLaAu2.

Structure (extended XYZ):
```
8
Lattice="3.663 0.000 0.000 0.000 5.218 0.000 0.000 0.000 11.522" Properties=species:S:1:pos:R:3 pbc="T T T"
K 0.000 0.000 0.000
K 1.832 2.609 5.761
La 0.000 2.609 9.188
La 1.832 0.000 3.427
Au 0.000 0.000 6.044
Au 0.000 2.609 2.617
Au 1.832 0.000 8.377
Au 1.832 2.609 0.283
```

Output
Its density of states at the Fermi level is 3.48 states/eV/f.u. Its volume is 27.53 A^3/atom. The raw total energy comes out at -3.482 eV/atom. For the calculated formation energy, the calculation gives -32.5 kJ per mole of atoms. As for the space-group type: Imm2.

20.
## AgPRuCl2 (PBE)

Data for a relaxed structure of AgPRuCl2.

Structure (extended XYZ):
```
5
Lattice="4.993 0.000 0.000 0.000 4.993 0.000 0.000 0.000 4.434" Properties=species:S:1:pos:R:3 pbc="T T T"
Ag 0.000 0.000 0.000
P 2.497 2.497 0.000
Ru 2.497 2.497 2.217
Cl 0.000 2.497 2.217
Cl 2.497 0.000 2.217
```

Output
Its density of states at the Fermi level is 5.46 states/eV/f.u. Its volume is 22.11 A^3/atom. The energy relative to the elements, uncorrected is 0.242 eV/atom. The raw total energy comes out at -4.004 eV/atom. For the energy above the most stable polymorph in this dataset, the calculation gives 0.000 eV per atom. As for the space-group type: P4/mmm.